DFT (GGA-PBE) results for crystalline Mn3TlS at its relaxed geometry.

Values from the calculation:
Symmetry: Pm-3m, No. 221
Total DFT energy (no corrections) (Ry per atom): -0.407
Formation energy (no corrections) (eV per atom): 1.2669
ρ (Mg/m³): 4.9
Density of states at the Fermi level (states/eV/cell): 2.792

Unit cell a=5.146 b=5.146 c=5.146 alpha=90.00 beta=90.00 gamma=90.00
Each line ends with the local moment (μB).
Atoms (fractional coordinates):
Mn (0.000, 0.500, 0.000)  4.27
Mn (0.500, 0.000, 0.000)  4.11
Mn (0.000, 0.000, 0.500)  4.42
Tl (0.000, 0.000, 0.000)  -0.13
S (0.500, 0.500, 0.500)  0.19